No. 1
PBE-GGA BaPt2W, optimized geometry; calculated formation energy = -0.25 eV/atom; SG = No. 166; crystal system = trigonal
1.0
4.493 0.000 0.000
-2.246 3.891 0.000
0.000 0.000 17.606
Ba Pt W
3 6 3
direct
0.000 0.000 0.000
0.333 0.667 0.667
0.667 0.333 0.333
0.000 0.000 0.193
0.000 0.000 0.807
0.333 0.667 0.473
0.333 0.667 0.860
0.667 0.333 0.140
0.667 0.333 0.527
0.000 0.000 0.500
0.333 0.667 0.167
0.667 0.333 0.833

No. 2
PBE-GGA Ba2PtW, optimized geometry; calculated formation energy = 0.98 eV/atom; SG = No. 122; crystal system = tetragonal
1.0
8.898 0.000 0.000
0.000 8.898 0.000
0.000 0.000 6.401
Ba Pt W
8 4 4
direct
0.211 0.750 0.125
0.250 0.211 0.875
0.250 0.289 0.375
0.289 0.750 0.625
0.711 0.250 0.625
0.750 0.711 0.375
0.750 0.789 0.875
0.789 0.250 0.125
0.000 0.000 0.000
0.000 0.500 0.250
0.500 0.000 0.750
0.500 0.500 0.500
0.000 0.000 0.500
0.000 0.500 0.750
0.500 0.000 0.250
0.500 0.500 0.000

| no. | total DFT energy (no corrections) (eV per atom) |
| --- | --- |
| 1 | -6.9847 |
| 2 | -4.7337 |